! PBE Ce8GeIr2, relaxed; values from VASP
! Fermi-level density of states = 28.4 states/eV per cell
! DFT formation energy = -377 meV per atom
&SYSTEM
  ibrav = 0, nat = 11, ntyp = 3
/
ATOMIC_SPECIES
Ce 140.12 Ce.upf
Ge 72.64 Ge.upf
Ir 192.22 Ir.upf
ATOMIC_POSITIONS angstrom
Ce 0.742 1.399 2.804
Ce 4.181 3.471 0.000
Ce 0.742 -1.399 2.804
Ce 3.072 0.000 0.860
Ce 3.994 0.000 4.091
Ce 6.323 1.399 2.148
Ce 4.181 -3.471 0.000
Ce 6.323 -1.399 2.148
Ge 0.000 0.000 0.000
Ir 3.533 2.558 2.476
Ir 3.533 -2.558 2.476
CELL_PARAMETERS angstrom
4.181 -6.724 0.000
4.181 6.724 0.000
-1.296 0.000 4.951

---

! PBE CeGeIr2, relaxed; values from VASP
! Fermi-level density of states = 3.2 states/eV per cell
! DFT formation energy = -563 meV per atom
! polymorph energy (0 for the lowest one) = 0.034 eV/atom
&SYSTEM
  ibrav = 0, nat = 4, ntyp = 3
/
ATOMIC_SPECIES
Ce 140.12 Ce.upf
Ge 72.64 Ge.upf
Ir 192.22 Ir.upf
ATOMIC_POSITIONS angstrom
Ce 0.000 0.000 0.000
Ge 0.000 0.000 7.316
Ir 0.000 0.000 3.113
Ir 0.000 0.000 11.519
CELL_PARAMETERS angstrom
2.136 1.233 4.877
-2.136 1.233 4.877
0.000 -2.466 4.877

---

! PBE Ce8Ge2Ir, relaxed; values from VASP
! Fermi-level density of states = 28.6 states/eV per cell
! DFT formation energy = -399 meV per atom
&SYSTEM
  ibrav = 0, nat = 11, ntyp = 3
/
ATOMIC_SPECIES
Ce 140.12 Ce.upf
Ge 72.64 Ge.upf
Ir 192.22 Ir.upf
ATOMIC_POSITIONS angstrom
Ce -0.623 0.000 1.926
Ce 1.153 0.000 5.349
Ce 3.600 0.000 3.949
Ce 6.843 0.000 0.504
Ce 6.454 0.000 6.344
Ce 9.697 0.000 2.899
Ce 12.144 0.000 1.499
Ce 13.920 0.000 4.922
Ge 2.305 0.000 0.999
Ge 10.992 0.000 5.848
Ir 6.648 0.000 3.424
CELL_PARAMETERS angstrom
8.086 -2.443 0.000
8.086 2.443 0.000
-2.875 0.000 6.847

---

! PBE Ce12Ge6Ir, relaxed; values from VASP
! Fermi-level density of states = 49.6 states/eV per cell
! DFT formation energy = -476 meV per atom
&SYSTEM
  ibrav = 0, nat = 19, ntyp = 3
/
ATOMIC_SPECIES
Ce 140.12 Ce.upf
Ge 72.64 Ge.upf
Ir 192.22 Ir.upf
ATOMIC_POSITIONS angstrom
Ce -5.216 -1.224 6.653
Ce -1.548 -5.129 5.686
Ce -1.523 -1.541 4.446
Ce -3.668 3.905 5.686
Ce -0.573 2.089 4.446
Ce -2.096 0.549 7.893
Ce 2.096 -0.549 4.446
Ce 0.573 -2.089 7.893
Ce 3.668 -3.905 6.653
Ce 1.523 1.541 7.893
Ce 1.548 5.129 6.653
Ce 5.216 1.224 5.686
Ge -3.411 0.886 5.214
Ge -2.473 -2.511 7.125
Ge 0.938 -3.397 5.214
Ge -0.938 3.397 7.125
Ge 2.473 2.511 5.214
Ge 3.411 -0.886 7.125
Ir 0.000 0.000 6.169
CELL_PARAMETERS angstrom
5.812 3.356 4.113
-5.812 3.356 4.113
0.000 -6.712 4.113

---

! PBE CeGe12Ir4, relaxed; values from VASP
! Fermi-level density of states = 11.6 states/eV per cell
! DFT formation energy = -244 meV per atom
&SYSTEM
  ibrav = 0, nat = 17, ntyp = 3
/
ATOMIC_SPECIES
Ce 140.12 Ce.upf
Ge 72.64 Ge.upf
Ir 192.22 Ir.upf
ATOMIC_POSITIONS angstrom
Ce 0.000 0.000 0.000
Ge 3.022 0.000 1.323
Ge 5.654 0.000 1.323
Ge 4.338 3.015 -1.316
Ge 1.323 3.022 0.000
Ge 3.015 -1.316 4.338
Ge 4.338 3.015 1.316
Ge 0.000 1.323 3.022
Ge 1.323 5.654 0.000
Ge 3.015 1.316 4.338
Ge 0.000 1.323 5.654
Ge -1.316 4.338 3.015
Ge 1.316 4.338 3.015
Ir 2.169 2.169 -2.169
Ir 2.169 -2.169 2.169
Ir -2.169 2.169 2.169
Ir 2.169 2.169 2.169
CELL_PARAMETERS angstrom
-4.338 4.338 4.338
4.338 -4.338 4.338
4.338 4.338 -4.338

---

! PBE CeGe6Ir5, relaxed; values from VASP
! Fermi-level density of states = 8.3 states/eV per cell
! DFT formation energy = -306 meV per atom
&SYSTEM
  ibrav = 0, nat = 12, ntyp = 3
/
ATOMIC_SPECIES
Ce 140.12 Ce.upf
Ge 72.64 Ge.upf
Ir 192.22 Ir.upf
ATOMIC_POSITIONS angstrom
Ce 0.000 0.000 0.000
Ge 0.752 2.162 2.066
Ge -0.004 0.000 5.299
Ge 0.752 -2.162 2.066
Ge 2.235 2.162 4.675
Ge 2.991 0.000 1.441
Ge 2.235 -2.162 4.675
Ir 1.494 4.149 3.370
Ir 2.769 2.128 0.000
Ir 1.494 0.000 3.370
Ir 2.769 -2.128 0.000
Ir 1.494 -4.149 3.370
CELL_PARAMETERS angstrom
2.769 -5.480 0.000
2.769 5.480 0.000
-2.551 0.000 6.741